Arrangement P

A plane-wave DFT calculation with meta-GGA SCAN was carried out for BeTc at its PBEsol-relaxed geometry. Values from VASP.

```
&SYSTEM
  ibrav = 0, nat = 2, ntyp = 2
/
ATOMIC_SPECIES
Be 9.01 Be.upf
Tc 98.00 Tc.upf
ATOMIC_POSITIONS crystal
Be 0.000 0.000 0.000
Tc 0.250 0.250 0.250
CELL_PARAMETERS angstrom
3.434 0.000 0.000
1.717 2.973 0.000
1.717 0.991 2.803
```

Output
**ρ**: 6.21 Mg/m³
**DOS at the Fermi energy**: 2.0 states/eV/f.u.
**SG**: F-43m

---

Arrangement Q

A plane-wave DFT calculation with meta-GGA SCAN was carried out for BeTc at its PBEsol-relaxed geometry. Values from VASP.

```
&SYSTEM
  ibrav = 0, nat = 4, ntyp = 2
/
ATOMIC_SPECIES
Be 9.01 Be.upf
Tc 98.00 Tc.upf
ATOMIC_POSITIONS crystal
Be 0.570 0.250 0.139
Be 0.430 0.750 0.861
Tc 0.150 0.750 0.301
Tc 0.850 0.250 0.699
CELL_PARAMETERS angstrom
3.058 0.000 0.000
0.000 3.168 0.000
-1.529 0.000 4.342
```

Output
**ρ**: 8.45 Mg/m³
**DOS at the Fermi energy**: 1.0 states/eV/f.u.
**SG**: Cmcm

---

It is arrangement Q that is the most stable of them.

---

Arrangement P

A plane-wave DFT calculation with meta-GGA SCAN was carried out for BeTlTc2 at its PBEsol-relaxed geometry. Values from VASP.

```
&SYSTEM
  ibrav = 0, nat = 4, ntyp = 3
/
ATOMIC_SPECIES
Tc 98.00 Tc.upf
Be 9.01 Be.upf
Tl 204.38 Tl.upf
ATOMIC_POSITIONS crystal
Tc 0.000 0.000 0.972
Tc 0.500 0.500 0.201
Be 0.500 0.500 0.809
Tl 0.000 0.000 0.517
CELL_PARAMETERS angstrom
-0.442 -2.836 0.825
2.103 0.284 2.103
-4.565 1.963 4.300
```

Output
**ρ**: 11.59 Mg/m³
**DOS at the Fermi energy**: 2.0 states/eV/f.u.
**SG**: P4mm

---

Arrangement Q

A plane-wave DFT calculation with meta-GGA SCAN was carried out for BeTlTc2 at its PBEsol-relaxed geometry. Values from VASP.

```
&SYSTEM
  ibrav = 0, nat = 4, ntyp = 3
/
ATOMIC_SPECIES
Be 9.01 Be.upf
Tl 204.38 Tl.upf
Tc 98.00 Tc.upf
ATOMIC_POSITIONS crystal
Be 0.000 0.000 0.000
Tl 0.500 0.500 0.500
Tc 0.250 0.250 0.250
Tc 0.750 0.750 0.750
CELL_PARAMETERS angstrom
4.348 0.000 0.000
2.174 3.765 0.000
2.174 1.255 3.550
```

Output
**ρ**: 11.70 Mg/m³
**DOS at the Fermi energy**: 3.4 states/eV/f.u.
**SG**: Fm-3m

---

It is arrangement P that is the most stable of them.

---

Arrangement P

A plane-wave DFT calculation with meta-GGA SCAN was carried out for Be2TlTc at its PBEsol-relaxed geometry. Values from VASP.

```
&SYSTEM
  ibrav = 0, nat = 8, ntyp = 3
/
ATOMIC_SPECIES
Be 9.01 Be.upf
Tc 98.00 Tc.upf
Tl 204.38 Tl.upf
ATOMIC_POSITIONS crystal
Be 0.852 0.375 0.977
Be 0.625 0.602 0.477
Be 0.398 0.875 0.023
Be 0.125 0.148 0.523
Tc 0.500 0.500 0.000
Tc 0.750 0.250 0.500
Tl 0.000 0.000 0.000
Tl 0.250 0.750 0.500
CELL_PARAMETERS angstrom
-1.059 -0.125 -5.210
0.798 -4.576 2.590
-4.355 2.087 2.227
```

Output
**ρ**: 9.39 Mg/m³
**DOS at the Fermi energy**: 0.2 states/eV/f.u.
**SG**: I-42d

---

Arrangement Q

A plane-wave DFT calculation with meta-GGA SCAN was carried out for Be2TlTc at its PBEsol-relaxed geometry. Values from VASP.

```
&SYSTEM
  ibrav = 0, nat = 4, ntyp = 3
/
ATOMIC_SPECIES
Be 9.01 Be.upf
Tl 204.38 Tl.upf
Tc 98.00 Tc.upf
ATOMIC_POSITIONS crystal
Be 0.213 0.426 0.113
Be 0.787 0.574 0.887
Tl 0.000 0.000 0.500
Tc 0.500 0.000 0.000
CELL_PARAMETERS angstrom
-0.776 -3.103 0.171
3.712 0.601 -2.246
1.550 -0.153 4.263
```

Output
**ρ**: 9.18 Mg/m³
**DOS at the Fermi energy**: 1.2 states/eV/f.u.
**SG**: C2/m

---

It is arrangement Q that is the most stable of them.

---

Arrangement P

A plane-wave DFT calculation with meta-GGA SCAN was carried out for YBeTc at its PBEsol-relaxed geometry. Values from VASP.

```
&SYSTEM
  ibrav = 0, nat = 3, ntyp = 3
/
ATOMIC_SPECIES
Y 88.91 Y.upf
Tc 98.00 Tc.upf
Be 9.01 Be.upf
ATOMIC_POSITIONS crystal
Y 0.500 0.500 0.500
Tc 0.000 0.000 0.000
Be 0.250 0.250 0.250
CELL_PARAMETERS angstrom
-3.833 0.213 1.649
-2.544 -3.308 -0.194
-0.904 -2.146 3.468
```

Output
**ρ**: 6.31 Mg/m³
**DOS at the Fermi energy**: 2.4 states/eV/f.u.
**SG**: F-43m

---

Arrangement Q

A plane-wave DFT calculation with meta-GGA SCAN was carried out for YBeTc at its PBEsol-relaxed geometry. Values from VASP.

```
&SYSTEM
  ibrav = 0, nat = 3, ntyp = 3
/
ATOMIC_SPECIES
Be 9.01 Be.upf
Tc 98.00 Tc.upf
Y 88.91 Y.upf
ATOMIC_POSITIONS crystal
Be 0.000 0.000 0.000
Tc 0.500 0.500 0.500
Y 0.250 0.250 0.250
CELL_PARAMETERS angstrom
4.363 0.000 0.000
2.181 3.778 0.000
2.181 1.259 3.562
```

Output
**ρ**: 5.54 Mg/m³
**DOS at the Fermi energy**: 5.4 states/eV/f.u.
**SG**: F-43m

---

It is arrangement P that is the most stable of them.